# PBE+U Li3Fe3TeO8, optimized geometry
data_Li3Fe3TeO8
_symmetry_space_group_name_H-M 'C 1 2/m 1'
_symmetry_Int_Tables_number 12
_cell_length_a 10.5727
_cell_length_b 6.1277
_cell_length_c 6.0897
_cell_angle_alpha 90.00
_cell_angle_beta 123.66
_cell_angle_gamma 90.00
loop_
_symmetry_equiv_pos_as_xyz
'x,y,z'
'-x,-y,-z'
'-x,y,-z'
'x,-y,z'
'x+1/2,y+1/2,z'
'-x+1/2,-y+1/2,-z'
'-x+1/2,y+1/2,-z'
'x+1/2,-y+1/2,z'
loop_
_atom_site_label
_atom_site_type_symbol
_atom_site_fract_x
_atom_site_fract_y
_atom_site_fract_z
Li1 Li 0.0000 0.0000 0.0000
Li2 Li 0.2500 0.2500 0.5000
Fe1 Fe 0.0000 0.5000 0.5000
Fe2 Fe 0.2500 0.2500 0.0000
Te1 Te 0.0000 0.0000 0.5000
O1 O 0.0028 0.2310 0.2781
O2 O 0.2205 0.0000 0.7178
O3 O 0.2272 0.5000 0.7453
# Calculated total energy: -5.9272 eV per atom
# M_tot: 26.0 μB/cell